No. 1
Compound: Ac5Sn2SN
Source: Alexandria via LeMat-Bulk
Functional: PBE
Structure: optimized geometry

The space group is Cmc2_1 (No. 36) and the conventional cell measures 4.6504, 19.0732 and 13.5511 Å, with angles of 90.00, 90.00 and 90.00 degrees. The asymmetric unit holds Ac at (0.0000, 0.0034, 0.0000), Ac at (0.0000, 0.1480, 0.2298), Ac at (0.0000, 0.1800, 0.5921), Ac at (0.0000, 0.2028, 0.8907), Ac at (0.0000, 0.4636, 0.2341), Sn at (0.0000, 0.3664, 0.5464), Sn at (0.0000, 0.3832, 0.9122), S at (0.0000, 0.3044, 0.2396) and N at (0.0000, 0.0449, 0.6603).

The value obtained for the total energy is -5.591 eV/atom. Its crystal system is orthorhombic. The calculation puts the formation energy without anion corrections at -1035 meV/atom. The value obtained for the magnetic moment is 0.001 μB per atom.

No. 2
Compound: Ac3Ta2S2N5
Source: Alexandria via LeMat-Bulk
Functional: PBE
Structure: optimized geometry

The space group is I4/mmm (No. 139) and the conventional cell measures 4.1776, 4.1776 and 23.8035 Å, with angles of 90.00, 90.00 and 90.00 degrees. The asymmetric unit holds Ac at (0.0000, 0.0000, 0.0000), Ac at (0.0000, 0.0000, 0.1665), Ta at (0.0000, 0.0000, 0.4170), S at (0.0000, 0.0000, 0.2995), N at (0.0000, 0.0000, 0.5000) and N at (0.0000, 0.5000, 0.0908).

The value obtained for the total energy is -8.757 eV/atom. Its crystal system is tetragonal. The calculation puts the formation energy without anion corrections at -1598 meV/atom. The value obtained for the magnetic moment is 0.000 μB per atom.